# 1
Compound: ThOs
Source: OQMD
Functional: PBE
Structure: optimized geometry

**M_tot**: 0.00 μB per atom
**Total energy**: -8.647 eV per atom

The structure in CIF format:
```
data_ThOs
_chemical_formula_sum 'Th4 Os4'
_space_group_name_H-M_alt 'F -4 3 m'
_space_group_IT_number 216
_space_group_name_Hall 'F -4 2 3'
_cell_length_a 6.2681
_cell_length_b 6.2681
_cell_length_c 6.2681
_cell_angle_alpha 90.00
_cell_angle_beta 90.00
_cell_angle_gamma 90.00
loop_
_atom_site_label
_atom_site_fract_x
_atom_site_fract_y
_atom_site_fract_z
Th1 0.0000 0.0000 0.0000
Os1 0.2500 0.2500 0.2500
```

***

# 2
Compound: SnHgO3
Source: OQMD
Functional: PBE
Structure: optimized geometry

**Total energy**: -4.855 eV per atom

The structure in CIF format:
```
data_SnHgO3
_chemical_formula_sum 'Sn4 Hg4 O12'
_space_group_name_H-M_alt 'P n m a'
_space_group_IT_number 62
_cell_length_a 5.6650
_cell_length_b 8.0573
_cell_length_c 5.6052
_cell_angle_alpha 90.00
_cell_angle_beta 90.00
_cell_angle_gamma 90.00
loop_
_space_group_symop_operation_xyz
'x,y,z'
'-x,-y,-z'
'-x+1/2,-y,z+1/2'
'x+1/2,y,-z+1/2'
'x+1/2,-y+1/2,-z+1/2'
'-x+1/2,y+1/2,z+1/2'
'-x,y+1/2,-z'
'x,-y+1/2,z'
loop_
_atom_site_label
_atom_site_fract_x
_atom_site_fract_y
_atom_site_fract_z
Sn1 0.0000 0.0000 0.0000
Hg1 0.0337 0.2500 0.4932
O1 0.0437 0.7500 0.1040
O2 0.2023 0.5562 0.7000
```

***

# 3
Compound: DyYMg6
Source: OQMD
Functional: PBE
Structure: optimized geometry

**M_tot**: 0.00 μB per atom
**Polymorph energy (0 for the lowest one)**: 5 meV/atom

The structure in CIF format:
```
data_DyYMg6
_chemical_formula_sum 'Dy2 Y2 Mg12'
_space_group_name_H-M_alt 'A m m 2'
_space_group_IT_number 38
_cell_length_a 5.0869
_cell_length_b 7.2395
_cell_length_c 10.9527
_cell_angle_alpha 90.00
_cell_angle_beta 90.00
_cell_angle_gamma 90.00
loop_
_space_group_symop_operation_xyz
'x,y,z'
'-x,-y,z'
'-x,y,z'
'x,-y,z'
'x,y+1/2,z+1/2'
'-x,-y+1/2,z+1/2'
'-x,y+1/2,z+1/2'
'x,-y+1/2,z+1/2'
loop_
_atom_site_label
_atom_site_fract_x
_atom_site_fract_y
_atom_site_fract_z
Dy1 0.0000 0.0000 0.0000
Y1 0.5000 0.0000 0.2661
Mg1 0.0000 0.0000 0.4625
Mg2 0.0000 0.2168 0.7319
Mg3 0.5000 0.0000 0.8039
Mg4 0.5000 0.2175 0.5340
```

***

# 4
Compound: Hf4InNiN2
Source: OQMD
Functional: PBE
Structure: optimized geometry

**M_tot**: 0.00 μB per atom
**Total energy**: -9.084 eV per atom

The structure in CIF format:
```
data_Hf4InNiN2
_chemical_formula_sum 'Hf4 In1 Ni1 N2'
_space_group_name_H-M_alt 'P -6 m 2'
_space_group_IT_number 187
_space_group_name_Hall 'P -6 2'
_cell_length_a 3.2199
_cell_length_b 3.2199
_cell_length_c 13.9201
_cell_angle_alpha 90.00
_cell_angle_beta 90.00
_cell_angle_gamma 120.00
loop_
_atom_site_label
_atom_site_fract_x
_atom_site_fract_y
_atom_site_fract_z
Hf1 0.0000 0.0000 0.1404
Hf2 0.3333 0.6667 0.3235
In1 0.0000 0.0000 0.5000
Ni1 0.3333 0.6667 0.0000
N1 0.6667 0.3333 0.2337
```

***

# 5
Compound: NaHg3GeO4
Source: OQMD
Functional: PBE
Structure: optimized geometry

**Total energy**: -3.233 eV per atom

The structure in CIF format:
```
data_NaHg3GeO4
_chemical_formula_sum 'Na1 Hg3 Ge1 O4'
_space_group_name_H-M_alt 'P -4 3 m'
_space_group_IT_number 215
_space_group_name_Hall 'P -4 2 3'
_cell_length_a 5.5886
_cell_length_b 5.5886
_cell_length_c 5.5886
_cell_angle_alpha 90.00
_cell_angle_beta 90.00
_cell_angle_gamma 90.00
loop_
_atom_site_label
_atom_site_fract_x
_atom_site_fract_y
_atom_site_fract_z
Na1 0.0000 0.0000 0.0000
Hg1 0.0000 0.5000 0.5000
Ge1 0.5000 0.5000 0.5000
O1 0.2670 0.2670 0.2670
```

***

# 6
Compound: DyHIBr
Source: OQMD
Functional: PBE
Structure: optimized geometry

**M_tot**: 0.00 μB per atom
**Total energy**: -4.144 eV per atom

The structure in CIF format:
```
data_DyHIBr
_chemical_formula_sum 'Dy2 H2 I2 Br2'
_space_group_name_H-M_alt 'P -6 m 2'
_space_group_IT_number 187
_space_group_name_Hall 'P -6 2'
_cell_length_a 3.9166
_cell_length_b 3.9166
_cell_length_c 15.4833
_cell_angle_alpha 90.00
_cell_angle_beta 90.00
_cell_angle_gamma 120.00
loop_
_atom_site_label
_atom_site_fract_x
_atom_site_fract_y
_atom_site_fract_z
Dy1 0.0000 0.0000 0.0000
Dy2 0.0000 0.0000 0.5000
H1 0.3333 0.6667 0.0000
H2 0.6667 0.3333 0.5000
I1 0.3333 0.6667 0.3621
Br1 0.6667 0.3333 0.1219
```

***

# 7
Compound: Hf4GaSi
Source: OQMD
Functional: PBE
Structure: optimized geometry

**M_tot**: 0.00 μB per atom
**Total energy**: -8.617 eV per atom

The structure in CIF format:
```
data_Hf4GaSi
_chemical_formula_sum 'Hf8 Ga2 Si2'
_space_group_name_H-M_alt 'I 4 2 2'
_space_group_IT_number 97
_space_group_name_Hall 'I 4 2'
_cell_length_a 6.6303
_cell_length_b 6.6303
_cell_length_c 5.2556
_cell_angle_alpha 90.00
_cell_angle_beta 90.00
_cell_angle_gamma 90.00
loop_
_atom_site_label
_atom_site_fract_x
_atom_site_fract_y
_atom_site_fract_z
Hf1 0.1556 0.3444 0.2500
Ga1 0.0000 0.0000 0.5000
Si1 0.0000 0.0000 0.0000
```

***

# 8
Compound: Al2Mo
Source: OQMD
Functional: PBE
Structure: optimized geometry

**M_tot**: 0.03 μB per atom
**Total energy**: -5.741 eV per atom

The structure in CIF format:
```
data_Al2Mo
_chemical_formula_sum 'Al4 Mo2'
_space_group_name_H-M_alt 'P 42/m n m'
_space_group_IT_number 136
_space_group_name_Hall '-P 4n 2n'
_cell_length_a 6.8347
_cell_length_b 6.8347
_cell_length_c 2.6680
_cell_angle_alpha 90.00
_cell_angle_beta 90.00
_cell_angle_gamma 90.00
loop_
_atom_site_label
_atom_site_fract_x
_atom_site_fract_y
_atom_site_fract_z
Al1 0.2376 0.2376 0.0000
Mo1 0.0000 0.0000 0.5000
```

***

# 9
Compound: TbEr3N
Source: OQMD
Functional: PBE
Structure: optimized geometry

**M_tot**: 0.01 μB per atom
**Total energy**: -5.856 eV per atom

The structure in CIF format:
```
data_TbEr3N
_chemical_formula_sum 'Tb1 Er3 N1'
_space_group_name_H-M_alt 'P m -3 m'
_space_group_IT_number 221
_space_group_name_Hall '-P 4 2 3'
_cell_length_a 4.8982
_cell_length_b 4.8982
_cell_length_c 4.8982
_cell_angle_alpha 90.00
_cell_angle_beta 90.00
_cell_angle_gamma 90.00
loop_
_atom_site_label
_atom_site_fract_x
_atom_site_fract_y
_atom_site_fract_z
Tb1 0.0000 0.0000 0.0000
Er1 0.0000 0.5000 0.5000
N1 0.5000 0.5000 0.5000
```

***

# 10
Compound: TaNbH2Os
Source: OQMD
Functional: PBE
Structure: optimized geometry

**M_tot**: 0.01 μB per atom
**Total energy**: -8.214 eV per atom

The structure in CIF format:
```
data_TaNbH2Os
_chemical_formula_sum 'Ta2 Nb2 H4 Os2'
_space_group_name_H-M_alt 'I 4 m m'
_space_group_IT_number 107
_space_group_name_Hall 'I 4 -2'
_cell_length_a 2.9927
_cell_length_b 2.9927
_cell_length_c 12.4602
_cell_angle_alpha 90.00
_cell_angle_beta 90.00
_cell_angle_gamma 90.00
loop_
_atom_site_label
_atom_site_fract_x
_atom_site_fract_y
_atom_site_fract_z
Ta1 0.0000 0.0000 0.0000
Nb1 0.0000 0.0000 0.7149
H1 0.0000 0.5000 0.1053
Os1 0.0000 0.0000 0.3586
```

***

# 11
Compound: SrLiNiAs2
Source: OQMD
Functional: PBE
Structure: optimized geometry

**M_tot**: 0.00 μB per atom
**Total energy**: -4.440 eV per atom

The structure in CIF format:
```
data_SrLiNiAs2
_chemical_formula_sum 'Sr2 Li2 Ni2 As4'
_space_group_name_H-M_alt 'I -4 m 2'
_space_group_IT_number 119
_space_group_name_Hall 'I -4 -2'
_cell_length_a 4.1745
_cell_length_b 4.1745
_cell_length_c 10.4746
_cell_angle_alpha 90.00
_cell_angle_beta 90.00
_cell_angle_gamma 90.00
loop_
_atom_site_label
_atom_site_fract_x
_atom_site_fract_y
_atom_site_fract_z
Sr1 0.0000 0.0000 0.0000
Li1 0.0000 0.5000 0.2500
Ni1 0.0000 0.5000 0.7500
As1 0.0000 0.0000 0.3725
```

***

# 12
Compound: LaSmCd2Sn2
Source: OQMD
Functional: PBE
Structure: optimized geometry

**M_tot**: 0.00 μB per atom
**Polymorph energy (0 for the lowest one)**: 25 meV/atom

The structure in CIF format:
```
data_LaSmCd2Sn2
_chemical_formula_sum 'La2 Sm2 Cd4 Sn4'
_space_group_name_H-M_alt 'P 63/m m c'
_space_group_IT_number 194
_space_group_name_Hall '-P 6c 2c'
_cell_length_a 4.8327
_cell_length_b 4.8327
_cell_length_c 16.2212
_cell_angle_alpha 90.00
_cell_angle_beta 90.00
_cell_angle_gamma 120.00
loop_
_atom_site_label
_atom_site_fract_x
_atom_site_fract_y
_atom_site_fract_z
La1 0.0000 0.0000 0.2500
Sm1 0.0000 0.0000 0.0000
Cd1 0.3333 0.6667 0.1489
Sn1 0.3333 0.6667 0.6061
```